{"formula": "BaMg4Ta", "functional": "PBE-GGA", "state": "optimized geometry", "dos_ef_per_ev_atom": 1.39, "crystal_system": "cubic", "formation_energy_mev_per_atom": 483, "cell": [[0.000, 4.256, 4.256], [4.256, 0.000, 4.256], [4.256, 4.256, 0.000]], "species": ["Ba", "Mg", "Mg", "Mg", "Mg", "Ta"], "fractional_positions": [[0.000, 0.000, 0.000], [0.131, 0.623, 0.623], [0.623, 0.131, 0.623], [0.623, 0.623, 0.131], [0.623, 0.623, 0.623], [0.250, 0.250, 0.250]]}

***

{"formula": "BaMgTa", "functional": "PBE-GGA", "state": "optimized geometry", "e_above_lowest_polymorph_mev_per_atom": 165, "dos_ef_per_ev_atom": 1.47, "crystal_system": "orthorhombic", "formation_energy_mev_per_atom": 871, "cell": [[-1.591, 2.235, 5.976], [1.591, -2.235, 5.976], [1.591, 2.235, -5.976]], "species": ["Ba", "Mg", "Ta"], "fractional_positions": [[0.000, 0.000, 0.000], [0.703, 0.703, 0.000], [0.297, 0.297, 0.000]]}

***

{"formula": "BaMg3Ta", "functional": "PBE-GGA", "state": "optimized geometry", "e_above_lowest_polymorph_mev_per_atom": 1410, "dos_ef_per_ev_atom": 1.17, "crystal_system": "cubic", "formation_energy_mev_per_atom": 2134, "cell": [[5.485, 0.000, 0.000], [0.000, 5.485, 0.000], [0.000, 0.000, 5.485]], "species": ["Ba", "Mg", "Mg", "Mg", "Ta"], "fractional_positions": [[0.000, 0.000, 0.000], [0.000, 0.000, 0.500], [0.000, 0.500, 0.000], [0.500, 0.000, 0.000], [0.500, 0.500, 0.500]]}

***

{"formula": "BaMg2Ta", "functional": "PBE-GGA", "state": "optimized geometry", "e_above_lowest_polymorph_mev_per_atom": 277, "dos_ef_per_ev_atom": 0.94, "crystal_system": "orthorhombic", "formation_energy_mev_per_atom": 692, "cell": [[-1.593, 2.887, 5.659], [1.593, -2.887, 5.659], [1.593, 2.887, -5.659]], "species": ["Ba", "Mg", "Mg", "Ta"], "fractional_positions": [[0.000, 0.000, 0.000], [0.276, 0.776, 0.500], [0.514, 0.514, 0.000], [0.730, 0.230, 0.500]]}

***

{"formula": "BaMg2Ta", "functional": "PBE-GGA", "state": "optimized geometry", "e_above_lowest_polymorph_mev_per_atom": 0, "dos_ef_per_ev_atom": 0.58, "crystal_system": "tetragonal", "formation_energy_mev_per_atom": 414, "cell": [[3.178, 0.000, 0.000], [0.000, 3.178, 0.000], [0.000, 0.000, 10.099]], "species": ["Ba", "Mg", "Mg", "Ta"], "fractional_positions": [[0.000, 0.000, 0.000], [0.500, 0.500, 0.299], [0.500, 0.500, 0.701], [0.000, 0.000, 0.500]]}

***

{"formula": "BaMg2Ta", "functional": "PBE-GGA", "state": "optimized geometry", "e_above_lowest_polymorph_mev_per_atom": 261, "dos_ef_per_ev_atom": 0.79, "crystal_system": "orthorhombic", "formation_energy_mev_per_atom": 676, "cell": [[-1.634, 2.768, 5.926], [1.634, -2.768, 5.926], [1.634, 2.768, -5.926]], "species": ["Ba", "Mg", "Mg", "Ta"], "fractional_positions": [[0.000, 0.000, 0.000], [0.286, 0.786, 0.500], [0.714, 0.214, 0.500], [0.500, 0.500, 0.000]]}

***

{"formula": "BaMg2Ta", "functional": "PBE-GGA", "state": "optimized geometry", "e_above_lowest_polymorph_mev_per_atom": 195, "dos_ef_per_ev_atom": 1.04, "crystal_system": "monoclinic", "formation_energy_mev_per_atom": 609, "cell": [[3.141, 0.000, 0.000], [0.000, 4.981, 0.000], [-1.434, 0.000, 6.890]], "species": ["Ba", "Mg", "Mg", "Ta"], "fractional_positions": [[0.000, 0.000, 0.000], [0.636, 0.500, 0.294], [0.733, 0.000, 0.526], [0.306, 0.500, 0.661]]}

***

{"formula": "BaMgTa2", "functional": "PBE-GGA", "state": "optimized geometry", "dos_ef_per_ev_atom": 1.03, "crystal_system": "orthorhombic", "formation_energy_mev_per_atom": 1072, "cell": [[3.042, -5.322, 0.000], [3.042, 5.322, 0.000], [0.000, 0.000, 2.922]], "species": ["Ba", "Mg", "Ta", "Ta"], "fractional_positions": [[0.000, 0.000, 0.000], [0.500, 0.500, 0.000], [0.000, 0.500, 0.500], [0.500, 0.000, 0.500]]}

***

{"formula": "BaMgTa2", "functional": "PBE-GGA", "state": "optimized geometry", "dos_ef_per_ev_atom": 1.40, "crystal_system": "orthorhombic", "formation_energy_mev_per_atom": 988, "cell": [[3.117, 0.000, 0.000], [0.000, 5.333, 0.000], [0.000, 0.000, 5.622]], "species": ["Ba", "Mg", "Ta", "Ta"], "fractional_positions": [[0.000, 0.000, 0.000], [0.500, 0.500, 0.000], [0.000, 0.500, 0.500], [0.500, 0.000, 0.500]]}

***

{"formula": "Ba2MgTa2", "functional": "PBE-GGA", "state": "optimized geometry", "e_above_lowest_polymorph_mev_per_atom": 0, "dos_ef_per_ev_atom": 1.51, "crystal_system": "tetragonal", "formation_energy_mev_per_atom": 691, "cell": [[-1.895, 1.895, 11.937], [1.895, -1.895, 11.937], [1.895, 1.895, -11.937]], "species": ["Ba", "Ba", "Mg", "Ta", "Ta"], "fractional_positions": [[0.116, 0.116, 0.000], [0.884, 0.884, 0.000], [0.500, 0.500, 0.000], [0.250, 0.750, 0.500], [0.750, 0.250, 0.500]]}

***

{"formula": "BaMg2Ta", "functional": "PBE-GGA", "state": "optimized geometry", "e_above_lowest_polymorph_mev_per_atom": 431, "dos_ef_per_ev_atom": 0.60, "crystal_system": "cubic", "formation_energy_mev_per_atom": 846, "cell": [[0.000, 3.795, 3.795], [3.795, 0.000, 3.795], [3.795, 3.795, 0.000]], "species": ["Ba", "Mg", "Mg", "Ta"], "fractional_positions": [[0.000, 0.000, 0.000], [0.250, 0.250, 0.250], [0.500, 0.500, 0.500], [0.750, 0.750, 0.750]]}

***

{"formula": "BaMgTa2", "functional": "PBE-GGA", "state": "optimized geometry", "dos_ef_per_ev_atom": 0.73, "crystal_system": "monoclinic", "formation_energy_mev_per_atom": 800, "cell": [[5.543, -1.528, 0.000], [5.543, 1.528, 0.000], [-0.871, 0.000, 5.936]], "species": ["Ba", "Mg", "Ta", "Ta"], "fractional_positions": [[0.000, 0.000, 0.000], [0.500, 0.500, 0.500], [0.228, 0.228, 0.676], [0.772, 0.772, 0.324]]}